(1)
MnCuAu14 | PBE-GGA | relaxed

Geometry as extended XYZ:
```
16
Lattice="9.4034 0.0000 0.0000 0.0000 3.0030 5.0254 0.0000 -3.0030 5.0254" Properties=species:S:1:pos:R:3 pbc="T T T"
Mn 0.0000 0.0000 0.0000
Cu 0.0000 0.0000 5.0097
Au 0.0000 -1.5094 2.5355
Au 0.0000 1.5094 2.5355
Au 2.2349 -1.4920 5.7752
Au 2.2349 1.4920 5.7752
Au 2.3099 0.0000 3.2999
Au 2.3240 0.0000 8.3381
Au 4.7017 0.0000 1.5553
Au 4.7017 -1.4985 4.0871
Au 4.7017 0.0000 6.5841
Au 4.7017 1.4985 4.0871
Au 7.0794 0.0000 8.3381
Au 7.0934 0.0000 3.2999
Au 7.1685 -1.4920 5.7752
Au 7.1685 1.4920 5.7752
```

Summary:
total magnetic moment: 0.290 μB per atom


(2)
MnCuAu2 | PBE-GGA | relaxed

Geometry as extended XYZ:
```
4
Lattice="0.0000 3.1767 3.1767 3.1767 0.0000 3.1767 3.1767 3.1767 0.0000" Properties=species:S:1:pos:R:3 pbc="T T T"
Mn 0.0000 0.0000 0.0000
Cu 4.7651 4.7651 4.7651
Au 1.5884 1.5884 1.5884
Au 3.1767 3.1767 3.1767
```

Summary:
total magnetic moment: 1.007 μB per atom


(3)
MnCu4Au5 | PBE-GGA | relaxed

Geometry as extended XYZ:
```
10
Lattice="3.0123 0.0000 0.0000 0.0000 3.0123 0.0000 0.0000 0.0000 16.9098" Properties=species:S:1:pos:R:3 pbc="T T T"
Mn 0.0000 0.0000 0.0000
Cu 0.0000 0.0000 3.4650
Cu 0.0000 0.0000 6.7838
Cu 0.0000 0.0000 10.1260
Cu 0.0000 0.0000 13.4448
Au 1.5061 1.5061 1.7727
Au 1.5061 1.5061 5.1215
Au 1.5061 1.5061 8.4549
Au 1.5061 1.5061 11.7883
Au 1.5061 1.5061 15.1371
```

Summary:
total magnetic moment: 0.380 μB per atom


(4)
MnCu4Au3 | PBE-GGA | relaxed

Geometry as extended XYZ:
```
8
Lattice="8.9861 -1.4672 0.0000 8.9861 1.4672 0.0000 -1.2329 0.0000 4.5442" Properties=species:S:1:pos:R:3 pbc="T T T"
Mn 0.0000 0.0000 0.0000
Cu 1.2491 0.0000 3.5418
Cu 5.8844 0.0000 3.3627
Cu 10.8550 0.0000 1.1815
Cu 15.4903 0.0000 1.0024
Au 4.2023 0.0000 1.1449
Au 8.3697 0.0000 2.2721
Au 12.5371 0.0000 3.3993
```

Summary:
total magnetic moment: 0.519 μB per atom
energy above the most stable polymorph in this dataset: 62 meV per atom


(5)
Mn2CuAu6 | PBE-GGA | relaxed

Geometry as extended XYZ:
```
18
Lattice="8.5321 0.0000 0.0000 0.0000 8.5321 0.0000 0.0000 0.0000 4.1367" Properties=species:S:1:pos:R:3 pbc="T T T"
Mn 1.5330 1.5330 0.0000
Mn 2.7331 5.7990 2.0684
Mn 5.7990 2.7331 2.0684
Mn 6.9991 6.9991 0.0000
Cu 0.0000 0.0000 2.0684
Cu 4.2660 4.2660 0.0000
Au 0.1129 2.7611 2.0684
Au 1.2417 7.2904 0.0000
Au 1.5050 4.3789 0.0000
Au 2.7611 0.1129 2.0684
Au 3.0244 3.0244 2.0684
Au 4.1532 7.0271 0.0000
Au 4.3789 1.5050 0.0000
Au 5.5077 5.5077 2.0684
Au 5.7710 8.4192 2.0684
Au 7.0271 4.1532 0.0000
Au 7.2904 1.2417 0.0000
Au 8.4192 5.7710 2.0684
```

Summary:
total magnetic moment: 0.928 μB per atom
energy above the most stable polymorph in this dataset: 0 meV per atom


(6)
Mn2Cu5Au5 | PBE-GGA | relaxed

Geometry as extended XYZ:
```
12
Lattice="6.0226 -1.8821 0.0000 6.0226 1.8821 0.0000 -4.0240 0.0000 7.9810" Properties=species:S:1:pos:R:3 pbc="T T T"
Mn 0.0337 0.0000 1.9921
Mn 7.9876 0.0000 5.9889
Cu -2.0120 0.0000 3.9905
Cu 2.0401 0.0000 0.0544
Cu 0.0169 0.0000 6.0684
Cu 8.0044 0.0000 1.9126
Cu 5.9812 0.0000 7.9266
Au 2.0498 0.0000 3.9877
Au 3.9590 0.0000 1.9237
Au 6.0226 0.0000 0.0000
Au 4.0624 0.0000 6.0573
Au 5.9715 0.0000 3.9933
```

Summary:
total magnetic moment: 0.679 μB per atom


| no. | Fermi-level density of states (states/eV per atom) | electronic total energy (eV/atom) | ΔE_f (meV per atom) |
| --- | --- | --- | --- |
| 1 | 0.26 | -3.691 | 6 |
| 2 | 0.47 | -4.921 | 34 |
| 3 | 0.28 | -4.235 | -40 |
| 4 | 0.41 | -4.363 | 60 |
| 5 | 0.36 | -4.753 | -75 |
| 6 | 0.38 | -4.620 | -20 |